w | A geometry-optimized Li2LaHgS structure. Source: the Alexandria database, functional PBE.

Unit cell a=4.6607 b=4.6607 c=5.7037 alpha=90.00 beta=90.00 gamma=90.00
Atoms (fractional coordinates):
Li 0.5000 0.0000 0.0000
Hg 0.5000 0.5000 0.5000
Li 0.0000 0.5000 0.0000
La 0.0000 0.0000 0.5000
S 0.0000 0.0000 0.0000

x | A geometry-optimized Li2LaHgS structure. Source: the Alexandria database, functional PBE.

Unit cell a=4.6511 b=6.2794 c=4.6511 alpha=90.00 beta=90.00 gamma=90.00
Atoms (fractional coordinates):
Li 0.5000 0.0000 0.0000
La 0.0000 0.5000 0.0000
Li 0.0000 0.0000 0.5000
S 0.5000 0.5000 0.5000
Hg 0.0000 0.0000 0.0000

Relative stability in eV/atom, measured from the most stable structure: w 0.000; x 0.511

w | A geometry-optimized LiLaSnHg2 structure. Source: the Alexandria database, functional PBE.

Unit cell a=4.9113 b=4.9113 c=5.1917 alpha=90.00 beta=90.00 gamma=90.00
Atoms (fractional coordinates):
Hg 0.0000 0.5000 0.0000
La 0.5000 0.5000 0.5000
Hg 0.5000 0.0000 0.0000
Sn 0.0000 0.0000 0.5000
Li 0.0000 0.0000 0.0000

x | A geometry-optimized LiLaSnHg2 structure. Source: the Alexandria database, functional PBE.

Unit cell a=5.8314 b=5.8597 c=5.8314 alpha=90.00 beta=90.00 gamma=90.00
Atoms (fractional coordinates):
Li 0.0000 0.5000 0.0000
Sn 0.5000 0.5000 0.5000
Hg 0.5000 0.0000 0.0000
La 0.0000 0.0000 0.0000
Hg 0.0000 0.0000 0.5000

Relative stability in eV/atom, measured from the most stable structure: w 0.000; x 1.042

w | A geometry-optimized La2LuHg structure. Source: the Alexandria database, functional PBE.

Unit cell a=5.5914 b=5.5914 c=5.5914 alpha=60.00 beta=60.00 gamma=60.00
Atoms (fractional coordinates):
La 0.2500 0.2500 0.2500
La 0.7500 0.7500 0.7500
Lu 0.0000 0.0000 0.0000
Hg 0.5000 0.5000 0.5000

x | A geometry-optimized La2LuHg structure. Source: the Alexandria database, functional PBE.

Unit cell a=3.8154 b=3.8154 c=8.7822 alpha=90.00 beta=90.00 gamma=90.00
Atoms (fractional coordinates):
La 0.0000 0.0000 0.7699
Lu 0.5000 0.5000 0.5000
La 0.0000 0.0000 0.2301
Hg 0.5000 0.5000 0.0000

Relative stability in eV/atom, measured from the most stable structure: w 0.086; x 0.000